Version A
Computed, not measured: a relaxed structure of Nd2CdCo at the PBE level of DFT.

The value obtained for the total moment is 0.0 μB per formula unit. The calculation puts the density of states at the Fermi level at 8.07 states/eV per cell.

The structure belongs to space group R3m (No. 160, hexagonal axes); the cell edges are 3.9813, 3.9813 and 24.2581 Å and the angles 90.00°, 90.00° and 120.00°. The inequivalent atoms are Nd at (0.0000, 0.0000, 0.0000), Nd at (0.0000, 0.0000, 0.2079), Cd at (0.0000, 0.0000, 0.7704) and Co at (0.0000, 0.0000, 0.6049).

=====

Version B
Computed, not measured: a relaxed structure of Nd2CdCo at the PBE level of DFT.

The value obtained for the total moment is 0.0 μB per formula unit. The calculation puts the density of states at the Fermi level at 10.97 states/eV per cell.

The structure belongs to space group C2/m (No. 12); the cell edges are 13.8773, 3.8092 and 7.7560 Å and the angles 90.00°, 95.23° and 90.00°. The inequivalent atoms are Nd at (0.0392, 0.0000, 0.2922), Nd at (0.2283, 0.0000, 0.6939), Cd at (0.1128, 0.5000, 0.9542) and Co at (0.0964, 0.5000, 0.5731).

=====

The winner here is version B, beating the second structure by 119 meV per atom.

=====

Version A
Computed, not measured: a relaxed structure of Nd4CdCo at the PBE level of DFT.

The value obtained for the total moment is 0.0 μB per formula unit. The calculation puts the density of states at the Fermi level at 76.04 states/eV per cell.

The structure belongs to space group F-43m (No. 216); the cell edges are 13.8770, 13.8770 and 13.8770 Å and the angles 90.00°, 90.00° and 90.00°. The inequivalent atoms are Nd at (0.0000, 0.0000, 0.1894), Nd at (0.0609, 0.2500, 0.2500), Nd at (0.1533, 0.1533, 0.6533), Cd at (0.0795, 0.0795, 0.4205) and Co at (0.1409, 0.1409, 0.8591).

=====

Version B
Computed, not measured: a relaxed structure of Nd4CdCo at the PBE level of DFT.

The value obtained for the total moment is 0.0 μB per formula unit. The calculation puts the density of states at the Fermi level at 26.93 states/eV per cell.

The structure belongs to space group C2/c (No. 15); the cell edges are 8.8612, 14.0063 and 6.0962 Å and the angles 90.00°, 113.49° and 90.00°. The inequivalent atoms are Nd at (0.1137, 0.1828, 0.0741), Nd at (0.2346, 0.4308, 0.3525), Cd at (0.0000, 0.3800, 0.7500) and Co at (0.0000, 0.0024, 0.2500).

=====

The winner here is version A, beating the second structure by 92 meV per atom.

=====

Version A
Computed, not measured: a relaxed structure of CdCoNi at the PBE level of DFT.

The value obtained for the total moment is 2.1 μB per formula unit. The calculation puts the density of states at the Fermi level at 3.70 states/eV per cell.

The structure belongs to space group P3m1 (No. 156); the cell edges are 2.7482, 2.7482 and 6.4969 Å and the angles 90.00°, 90.00° and 120.00°. The inequivalent atoms are Cd at (0.0000, 0.0000, 0.0000), Co at (0.6667, 0.3333, 0.3619) and Ni at (0.3333, 0.6667, 0.6441).

=====

Version B
Computed, not measured: a relaxed structure of CdCoNi at the PBE level of DFT.

The value obtained for the total moment is 1.9 μB per formula unit. The calculation puts the density of states at the Fermi level at 7.14 states/eV per cell.

The structure belongs to space group I4mm (No. 107); the cell edges are 2.7862, 2.7862 and 10.7761 Å and the angles 90.00°, 90.00° and 90.00°. The inequivalent atoms are Cd at (0.0000, 0.0000, 0.0000), Co at (0.0000, 0.0000, 0.6864) and Ni at (0.0000, 0.0000, 0.3160).

=====

Version C
Computed, not measured: a relaxed structure of CdCoNi at the PBE level of DFT.

The value obtained for the total moment is 2.0 μB per formula unit. The calculation puts the density of states at the Fermi level at 4.10 states/eV per cell.

The structure belongs to space group P-6m2 (No. 187); the cell edges are 4.2385, 4.2385 and 2.7064 Å and the angles 90.00°, 90.00° and 120.00°. The inequivalent atoms are Cd at (0.0000, 0.0000, 0.0000), Co at (0.6667, 0.3333, 0.5000) and Ni at (0.3333, 0.6667, 0.5000).

=====

The winner here is version B, beating the second structure by 89 meV per atom.